w | CaGd2Tl | GGA-PBE | optimized geometry

Summary:
N(E_F) (states/eV per cell): 7.82
Crystal system: cubic

a = 5.558 Å, b = 5.558 Å, c = 5.558 Å
α = 60.00°, β = 60.00°, γ = 60.00°
Positions (direct):
1 Gd 0.750 0.750 0.750
2 Gd 0.250 0.250 0.250
3 Tl 0.500 0.500 0.500
4 Ca 0.000 0.000 0.000

---

x | CaGd2Tl | GGA-PBE | optimized geometry

Summary:
N(E_F) (states/eV per cell): 3.93
Crystal system: tetragonal

a = 4.941 Å, b = 4.927 Å, c = 4.927 Å
α = 90.00°, β = 90.00°, γ = 90.00°
Positions (direct):
1 Tl 0.500 0.500 0.500
2 Gd 0.000 0.000 0.500
3 Gd 0.000 0.500 0.000
4 Ca 0.500 0.000 0.000

---

y | CaGd2Tl | GGA-PBE | optimized geometry

Summary:
N(E_F) (states/eV per cell): 7.48
Crystal system: tetragonal

a = 3.678 Å, b = 3.678 Å, c = 9.664 Å
α = 90.00°, β = 90.00°, γ = 90.00°
Positions (direct):
1 Gd 0.000 0.000 0.788
2 Gd 0.000 0.000 0.212
3 Tl 0.500 0.500 0.000
4 Ca 0.500 0.500 0.500

---

z | CaGd2Tl | GGA-PBE | optimized geometry

Summary:
N(E_F) (states/eV per cell): 6.24
Crystal system: trigonal

a = 3.627 Å, b = 3.627 Å, c = 12.074 Å
α = 81.36°, β = 81.36°, γ = 60.00°
Positions (direct):
1 Gd 0.096 0.096 0.711
2 Gd 0.904 0.904 0.289
3 Tl 0.500 0.500 0.500
4 Ca 0.000 0.000 0.000

---

Computed relative energies in units of meV/atom: w 102; x 0; y 47; z 228

---

w | Ca2GdTm | GGA-PBE | optimized geometry

Summary:
N(E_F) (states/eV per cell): 7.67
Crystal system: tetragonal

a = 5.445 Å, b = 5.128 Å, c = 5.128 Å
α = 90.00°, β = 90.00°, γ = 90.00°
Positions (direct):
1 Gd 0.500 0.000 0.000
2 Ca 0.000 0.500 0.000
3 Ca 0.000 0.000 0.500
4 Tm 0.500 0.500 0.500

---

x | Ca2GdTm | GGA-PBE | optimized geometry

Summary:
N(E_F) (states/eV per cell): 8.05
Crystal system: cubic

a = 5.842 Å, b = 5.842 Å, c = 5.842 Å
α = 60.00°, β = 60.00°, γ = 60.00°
Positions (direct):
1 Tm 0.500 0.500 0.500
2 Ca 0.750 0.750 0.750
3 Ca 0.250 0.250 0.250
4 Gd 0.000 0.000 0.000

---

Computed relative energies in units of meV/atom: w 0; x 22

---

w | Ca2GdTm | GGA-PBE | optimized geometry

Summary:
N(E_F) (states/eV per cell): 6.17
Crystal system: trigonal

a = 3.578 Å, b = 3.578 Å, c = 13.132 Å
α = 82.17°, β = 82.17°, γ = 60.00°
Positions (direct):
1 Gd 0.500 0.500 0.500
2 Tm 0.000 0.000 0.000
3 Ca 0.913 0.913 0.261
4 Ca 0.087 0.087 0.739

---

x | Ca2GdTm | GGA-PBE | optimized geometry

Summary:
N(E_F) (states/eV per cell): 8.15
Crystal system: tetragonal

a = 3.667 Å, b = 3.667 Å, c = 10.645 Å
α = 90.00°, β = 90.00°, γ = 90.00°
Positions (direct):
1 Ca 0.000 0.000 0.254
2 Ca 0.000 0.000 0.746
3 Gd 0.500 0.500 0.000
4 Tm 0.500 0.500 0.500

---

Computed relative energies in units of meV/atom: w 92; x 0

---

w | CaGdY2 | GGA-PBE | optimized geometry

Summary:
N(E_F) (states/eV per cell): 8.68
Crystal system: cubic

a = 5.776 Å, b = 5.776 Å, c = 5.776 Å
α = 60.00°, β = 60.00°, γ = 60.00°
Positions (direct):
1 Gd 0.000 0.000 0.000
2 Y 0.250 0.250 0.250
3 Y 0.750 0.750 0.750
4 Ca 0.500 0.500 0.500

---

x | CaGdY2 | GGA-PBE | optimized geometry

Summary:
N(E_F) (states/eV per cell): 6.46
Crystal system: trigonal

a = 3.563 Å, b = 3.563 Å, c = 12.755 Å
α = 81.97°, β = 81.97°, γ = 60.00°
Positions (direct):
1 Y 0.909 0.909 0.272
2 Y 0.091 0.091 0.728
3 Gd 0.500 0.500 0.500
4 Ca 0.000 0.000 0.000

---

y | CaGdY2 | GGA-PBE | optimized geometry

Summary:
N(E_F) (states/eV per cell): 6.54
Crystal system: tetragonal

a = 3.643 Å, b = 3.643 Å, c = 10.354 Å
α = 90.00°, β = 90.00°, γ = 90.00°
Positions (direct):
1 Y 0.000 0.000 0.232
2 Y 0.000 0.000 0.768
3 Gd 0.500 0.500 0.000
4 Ca 0.500 0.500 0.500

---

Computed relative energies in units of meV/atom: w 82; x 91; y 0

---

w | CaGd2Zn | GGA-PBE | optimized geometry

Summary:
N(E_F) (states/eV per cell): 4.57
Crystal system: tetragonal

a = 4.725 Å, b = 4.901 Å, c = 4.901 Å
α = 90.00°, β = 90.00°, γ = 90.00°
Positions (direct):
1 Zn 0.500 0.000 0.000
2 Ca 0.500 0.500 0.500
3 Gd 0.000 0.500 0.000
4 Gd 0.000 0.000 0.500

---

x | CaGd2Zn | GGA-PBE | optimized geometry

Summary:
N(E_F) (states/eV per cell): 4.78
Crystal system: tetragonal

a = 3.644 Å, b = 3.644 Å, c = 9.118 Å
α = 90.00°, β = 90.00°, γ = 90.00°
Positions (direct):
1 Gd 0.000 0.000 0.813
2 Gd 0.000 0.000 0.187
3 Ca 0.500 0.500 0.500
4 Zn 0.500 0.500 0.000

---

Computed relative energies in units of meV/atom: w 154; x 0

---

w | Ca2GdZn | GGA-PBE | optimized geometry

Summary:
N(E_F) (states/eV per cell): 6.68
Crystal system: tetragonal

a = 3.662 Å, b = 3.662 Å, c = 9.261 Å
α = 90.00°, β = 90.00°, γ = 90.00°
Positions (direct):
1 Gd 0.500 0.500 0.500
2 Ca 0.000 0.000 0.802
3 Ca 0.000 0.000 0.198
4 Zn 0.500 0.500 0.000

---

x | Ca2GdZn | GGA-PBE | optimized geometry

Summary:
N(E_F) (states/eV per cell): 7.73
Crystal system: trigonal

a = 3.614 Å, b = 3.614 Å, c = 11.782 Å
α = 81.18°, β = 81.18°, γ = 60.00°
Positions (direct):
1 Ca 0.900 0.900 0.301
2 Ca 0.100 0.100 0.699
3 Zn 0.500 0.500 0.500
4 Gd 0.000 0.000 0.000

---

Computed relative energies in units of meV/atom: w 0; x 215

---

w | CaGd2Zr | GGA-PBE | optimized geometry

Summary:
N(E_F) (states/eV per cell): 5.98
Crystal system: tetragonal

a = 3.491 Å, b = 3.491 Å, c = 10.370 Å
α = 90.00°, β = 90.00°, γ = 90.00°
Positions (direct):
1 Ca 0.500 0.500 0.500
2 Zr 0.500 0.500 0.000
3 Gd 0.000 0.000 0.215
4 Gd 0.000 0.000 0.785

---

x | CaGd2Zr | GGA-PBE | optimized geometry

Summary:
N(E_F) (states/eV per cell): 6.09
Crystal system: trigonal

a = 3.476 Å, b = 3.476 Å, c = 12.280 Å
α = 81.86°, β = 81.86°, γ = 60.00°
Positions (direct):
1 Gd 0.906 0.906 0.283
2 Gd 0.094 0.094 0.717
3 Zr 0.500 0.500 0.500
4 Ca 0.000 0.000 0.000

---

Computed relative energies in units of meV/atom: w 0; x 97

---

w | Ca3Ge | GGA-PBE | optimized geometry

Summary:
N(E_F) (states/eV per cell): 11.94
Crystal system: orthorhombic

a = 5.133 Å, b = 20.258 Å, c = 5.147 Å
α = 90.00°, β = 90.00°, γ = 90.00°
Positions (direct):
1 Ca 0.000 0.500 0.000
2 Ca 0.500 0.327 0.500
3 Ca 0.500 0.825 0.000
4 Ca 0.000 0.173 0.500
5 Ca 0.500 0.175 0.000
6 Ca 0.000 0.827 0.500
7 Ca 0.000 0.000 0.500
8 Ca 0.000 0.325 0.000
9 Ca 0.500 0.673 0.500
10 Ca 0.500 0.500 0.500
11 Ca 0.000 0.675 0.000
12 Ca 0.500 0.000 0.000
13 Ge 0.000 0.092 0.000
14 Ge 0.000 0.908 0.000
15 Ge 0.500 0.408 0.000
16 Ge 0.500 0.592 0.000

---

x | Ca3Ge | GGA-PBE | optimized geometry

Summary:
N(E_F) (states/eV per cell): 9.67
Crystal system: orthorhombic

a = 4.431 Å, b = 12.764 Å, c = 9.311 Å
α = 90.00°, β = 90.00°, γ = 90.00°
Positions (direct):
1 Ge 0.000 0.253 0.750
2 Ge 0.500 0.247 0.250
3 Ge 0.500 0.753 0.750
4 Ge 0.000 0.747 0.250
5 Ca 0.500 0.852 0.064
6 Ca 0.500 0.575 0.250
7 Ca 0.500 0.852 0.436
8 Ca 0.000 0.352 0.436
9 Ca 0.000 0.925 0.750
10 Ca 0.500 0.425 0.750
11 Ca 0.000 0.648 0.936
12 Ca 0.000 0.075 0.250
13 Ca 0.000 0.648 0.564
14 Ca 0.500 0.148 0.564
15 Ca 0.000 0.352 0.064
16 Ca 0.500 0.148 0.936

---

Computed relative energies in units of meV/atom: w 56; x 0

---

w | CaGeH2 | GGA-PBE | optimized geometry

Summary:
N(E_F) (states/eV per cell): 1.08
Crystal system: cubic

a = 4.177 Å, b = 4.177 Å, c = 4.177 Å
α = 60.00°, β = 60.00°, γ = 60.00°
Positions (direct):
1 H 0.750 0.750 0.750
2 H 0.250 0.250 0.250
3 Ge 0.500 0.500 0.500
4 Ca 0.000 0.000 0.000

---

x | CaGeH2 | GGA-PBE | optimized geometry

Summary:
N(E_F) (states/eV per cell): 2.41
Crystal system: tetragonal

a = 4.382 Å, b = 4.382 Å, c = 6.699 Å
α = 70.91°, β = 70.91°, γ = 90.00°
Positions (direct):
1 Ge 0.000 0.000 0.000
2 Ge 0.750 0.250 0.500
3 H 0.375 0.273 0.750
4 H 0.727 0.125 0.250
5 H 0.875 0.977 0.750
6 H 0.023 0.625 0.250
7 Ca 0.250 0.750 0.500
8 Ca 0.500 0.500 0.000

---

Computed relative energies in units of meV/atom: w 85; x 0

---

w | Ca2GeH | GGA-PBE | optimized geometry

Summary:
N(E_F) (states/eV per cell): 2.23
Crystal system: monoclinic

a = 5.724 Å, b = 6.049 Å, c = 10.228 Å
α = 94.42°, β = 90.00°, γ = 90.00°
Positions (direct):
1 Ge 0.272 0.621 0.143
2 Ge 0.272 0.879 0.357
3 Ge 0.728 0.379 0.857
4 Ge 0.728 0.121 0.643
5 H 0.176 0.585 0.630
6 H 0.176 0.915 0.870
7 H 0.824 0.415 0.370
8 H 0.824 0.085 0.130
9 Ca 0.238 0.408 0.411
10 Ca 0.232 0.974 0.645
11 Ca 0.232 0.526 0.855
12 Ca 0.762 0.592 0.589
13 Ca 0.768 0.026 0.355
14 Ca 0.238 0.092 0.089
15 Ca 0.762 0.908 0.911
16 Ca 0.768 0.474 0.145

---

x | Ca2GeH | GGA-PBE | optimized geometry

Summary:
N(E_F) (states/eV per cell): 10.85
Crystal system: tetragonal

a = 6.931 Å, b = 6.931 Å, c = 6.165 Å
α = 55.79°, β = 55.79°, γ = 90.00°
Positions (direct):
1 H 0.250 0.750 0.500
2 H 0.500 0.500 0.000
3 Ca 0.875 0.795 0.750
4 Ca 0.375 0.455 0.750
5 Ca 0.205 0.625 0.250
6 Ca 0.545 0.125 0.250
7 Ge 0.750 0.250 0.500
8 Ge 0.000 0.000 0.000

---

y | Ca2GeH | GGA-PBE | optimized geometry

Summary:
N(E_F) (states/eV per cell): 1.92
Crystal system: tetragonal

a = 3.343 Å, b = 5.104 Å, c = 5.104 Å
α = 90.00°, β = 90.00°, γ = 90.00°
Positions (direct):
1 Ca 0.000 0.000 0.500
2 Ca 0.000 0.500 0.000
3 Ge 0.500 0.500 0.500
4 H 0.500 0.000 0.000

---

z | Ca2GeH | GGA-PBE | optimized geometry

Summary:
N(E_F) (states/eV per cell): 4.18
Crystal system: cubic

a = 4.985 Å, b = 4.985 Å, c = 4.985 Å
α = 60.00°, β = 60.00°, γ = 60.00°
Positions (direct):
1 Ca 0.750 0.750 0.750
2 Ca 0.250 0.250 0.250
3 Ge 0.500 0.500 0.500
4 H 0.000 0.000 0.000

---

Computed relative energies in units of meV/atom: w 0; x 144; y 157; z 243

---

w | Ca4Ge2H | GGA-PBE | optimized geometry

Summary:
N(E_F) (states/eV per cell): 6.20
Crystal system: monoclinic

a = 6.783 Å, b = 6.871 Å, c = 8.097 Å
α = 90.00°, β = 107.22°, γ = 90.00°
Positions (direct):
1 Ca 0.495 0.991 0.254
2 Ca 0.937 0.250 0.627
3 Ca 0.089 0.750 0.913
4 Ca 0.063 0.750 0.373
5 Ca 0.505 0.009 0.746
6 Ca 0.911 0.250 0.087
7 Ca 0.505 0.491 0.746
8 Ca 0.495 0.509 0.254
9 H 0.266 0.750 0.198
10 H 0.734 0.250 0.802
11 Ge 0.247 0.250 0.431
12 Ge 0.719 0.750 0.047
13 Ge 0.753 0.750 0.569
14 Ge 0.281 0.250 0.953

---

x | Ca4Ge2H | GGA-PBE | optimized geometry

Summary:
N(E_F) (states/eV per cell): 5.13
Crystal system: tetragonal

a = 4.535 Å, b = 4.535 Å, c = 8.915 Å
α = 75.27°, β = 75.27°, γ = 90.00°
Positions (direct):
1 H 0.000 0.000 0.000
2 Ca 0.182 0.182 0.635
3 Ca 0.000 0.500 0.000
4 Ca 0.500 0.000 0.000
5 Ca 0.818 0.818 0.365
6 Ge 0.632 0.632 0.737
7 Ge 0.368 0.368 0.263

---

Computed relative energies in units of meV/atom: w 17; x 0